A plane-wave DFT calculation with PBE-GGA was carried out for a relaxed ZrAsPd crystal.

formation enthalpy at 0 K = -0.801 eV/atom

Cell and atoms, written as CIF:
```
data_ZrAsPd
_cell_length_a 4.067
_cell_length_b 9.421
_cell_length_c 5.562
_cell_angle_alpha 90.00
_cell_angle_beta 90.00
_cell_angle_gamma 90.00
_space_group_name_H-M_alt 'C m c m'
_space_group_IT_number 63
_space_group_name_Hall '-C 2c 2'
loop_
_atom_site_label
_atom_site_fract_x
_atom_site_fract_y
_atom_site_fract_z
Zr1 0.000 0.195 0.250
As1 0.000 0.111 0.750
Pd1 0.000 0.500 0.000
```



A plane-wave DFT calculation with PBE-GGA was carried out for a relaxed K2LiTa crystal.

E above lowest polymorph = 1.85 eV per formula unit
formation enthalpy at 0 K = 1.399 eV/atom

Cell and atoms, written as CIF:
```
data_K2LiTa
_cell_length_a 5.836
_cell_length_b 5.836
_cell_length_c 8.316
_cell_angle_alpha 90.00
_cell_angle_beta 90.00
_cell_angle_gamma 90.00
_space_group_name_H-M_alt 'I -4 m 2'
_space_group_IT_number 119
_space_group_name_Hall 'I -4 -2'
loop_
_atom_site_label
_atom_site_fract_x
_atom_site_fract_y
_atom_site_fract_z
K1 0.000 0.000 0.000
K2 0.000 0.500 0.250
Li1 0.000 0.500 0.750
Ta1 0.000 0.000 0.500
```



A plane-wave DFT calculation with PBE-GGA was carried out for a relaxed KNb2NF crystal.

energy relative to the elements, uncorrected = 0.9847 eV per atom

Cell and atoms, written as CIF:
```
data_KNb2NF
_cell_length_a 4.168
_cell_length_b 4.168
_cell_length_c 5.214
_cell_angle_alpha 90.00
_cell_angle_beta 90.00
_cell_angle_gamma 90.00
_space_group_name_H-M_alt 'P 4/m m m'
_space_group_IT_number 123
_space_group_name_Hall '-P 4 2'
loop_
_atom_site_label
_atom_site_fract_x
_atom_site_fract_y
_atom_site_fract_z
K1 0.000 0.000 0.000
Nb1 0.000 0.500 0.500
N1 0.500 0.500 0.000
F1 0.500 0.500 0.500
```



A plane-wave DFT calculation with PBE-GGA was carried out for a relaxed DyMgCd11 crystal.

formation enthalpy at 0 K = -0.094 eV/atom

Cell and atoms, written as CIF:
```
data_DyMgCd11
_cell_length_a 5.983
_cell_length_b 14.002
_cell_length_c 7.617
_cell_angle_alpha 90.00
_cell_angle_beta 113.05
_cell_angle_gamma 90.00
_space_group_name_H-M_alt 'C 1 2/m 1'
_space_group_IT_number 12
_space_group_name_Hall '-C 2y'
loop_
_atom_site_label
_atom_site_fract_x
_atom_site_fract_y
_atom_site_fract_z
Dy1 0.000 0.000 0.000
Mg1 0.000 0.000 0.500
Cd1 0.000 0.500 0.500
Cd2 0.114 0.394 0.214
Cd3 0.172 0.174 0.350
Cd4 0.250 0.250 0.000
```



no.,volume (Å³/cell),calculated density (g/cm3)
1,213,8.5
2,283,3.1
3,91,4.7
4,587,8.0